Run P
The following is a GGA-PBE calculation of a relaxed structure of Ni2HgTe, from Alexandria via LeMat-Bulk.

abc: 3.754 3.781 5.164
angles: 90.00 90.00 90.00
Fractional coordinates of all 4 atoms:
Ni1 0.000 0.000 0.000
Ni2 0.500 0.500 0.500
Hg1 0.000 0.000 0.500
Te1 0.500 0.500 0.000


Run Q
The following is a GGA-PBE calculation of a relaxed structure of Ni2HgTe, from Alexandria via LeMat-Bulk.

abc: 3.543 3.958 5.220
angles: 90.00 109.80 90.00
Fractional coordinates of all 4 atoms:
Ni1 0.000 0.000 0.000
Ni2 0.169 0.500 0.324
Hg1 0.441 0.500 0.879
Te1 0.723 0.000 0.438


Most stable = run Q


Run P
The following is a GGA-PBE calculation of a relaxed structure of Tl2NiHg, from Alexandria via LeMat-Bulk.

abc: 5.110 5.110 5.110
angles: 60.00 60.00 60.00
Fractional coordinates of all 4 atoms:
Tl1 0.000 0.000 0.000
Tl2 0.250 0.250 0.250
Ni1 0.500 0.500 0.500
Hg1 0.750 0.750 0.750


Run Q
The following is a GGA-PBE calculation of a relaxed structure of Tl2NiHg, from Alexandria via LeMat-Bulk.

abc: 5.094 5.094 5.094
angles: 60.00 60.00 60.00
Fractional coordinates of all 4 atoms:
Tl1 0.250 0.250 0.250
Tl2 0.750 0.750 0.750
Ni1 0.000 0.000 0.000
Hg1 0.500 0.500 0.500


Run R
The following is a GGA-PBE calculation of a relaxed structure of Tl2NiHg, from Alexandria via LeMat-Bulk.

abc: 3.232 3.328 8.926
angles: 90.00 92.03 90.00
Fractional coordinates of all 4 atoms:
Tl1 0.019 0.000 0.185
Tl2 0.981 0.000 0.815
Ni1 0.500 0.500 0.000
Hg1 0.000 0.500 0.500


Run S
The following is a GGA-PBE calculation of a relaxed structure of Tl2NiHg, from Alexandria via LeMat-Bulk.

abc: 3.587 3.587 8.780
angles: 103.15 103.15 62.77
Fractional coordinates of all 4 atoms:
Tl1 0.233 0.233 0.200
Tl2 0.767 0.767 0.800
Ni1 0.500 0.500 0.000
Hg1 0.000 0.000 0.500


Most stable = run R


Run P
The following is a GGA-PBE calculation of a relaxed structure of Tl2NiHg, from Alexandria via LeMat-Bulk.

abc: 9.040 9.040 9.040
angles: 22.61 22.61 22.61
Fractional coordinates of all 4 atoms:
Tl1 0.000 0.000 0.000
Tl2 0.228 0.228 0.228
Ni1 0.496 0.496 0.496
Hg1 0.765 0.765 0.765


Run Q
The following is a GGA-PBE calculation of a relaxed structure of Tl2NiHg, from Alexandria via LeMat-Bulk.

abc: 7.523 7.523 7.523
angles: 155.76 146.02 42.18
Fractional coordinates of all 4 atoms:
Tl1 0.171 0.171 0.000
Tl2 0.829 0.829 0.000
Ni1 0.000 0.500 0.500
Hg1 0.500 0.000 0.500


Run R
The following is a GGA-PBE calculation of a relaxed structure of Tl2NiHg, from Alexandria via LeMat-Bulk.

abc: 5.071 5.071 3.597
angles: 90.14 90.14 89.46
Fractional coordinates of all 4 atoms:
Tl1 0.000 0.500 0.000
Tl2 0.500 0.000 0.000
Ni1 0.000 0.000 0.500
Hg1 0.500 0.500 0.500


Run S
The following is a GGA-PBE calculation of a relaxed structure of Tl2NiHg, from Alexandria via LeMat-Bulk.

abc: 8.735 8.735 8.735
angles: 141.59 141.59 55.45
Fractional coordinates of all 8 atoms:
Tl1 0.021 0.625 0.896
Tl2 0.375 0.271 0.396
Tl3 0.729 0.125 0.104
Tl4 0.875 0.979 0.604
Ni1 0.000 0.000 0.000
Ni2 0.750 0.250 0.500
Hg1 0.250 0.750 0.500
Hg2 0.500 0.500 0.000


Most stable = run Q


Run P
The following is a GGA-PBE calculation of a relaxed structure of TlNiHg, from Alexandria via LeMat-Bulk.

abc: 6.437 6.437 6.437
angles: 151.31 151.31 41.02
Fractional coordinates of all 3 atoms:
Tl1 0.000 0.000 0.000
Ni1 0.649 0.649 0.000
Hg1 0.279 0.279 0.000


Run Q
The following is a GGA-PBE calculation of a relaxed structure of TlNiHg, from Alexandria via LeMat-Bulk.

abc: 3.379 3.379 6.398
angles: 90.00 90.00 120.00
Fractional coordinates of all 3 atoms:
Tl1 0.000 0.000 0.000
Ni1 0.667 0.333 0.704
Hg1 0.333 0.667 0.417


Most stable = run P


Run P
The following is a GGA-PBE calculation of a relaxed structure of TlNi2Hg2, from Alexandria via LeMat-Bulk.

abc: 6.987 6.987 3.731
angles: 90.00 90.00 90.00
Fractional coordinates of all 10 atoms:
Tl1 0.000 0.000 0.000
Tl2 0.500 0.500 0.000
Ni1 0.133 0.367 0.000
Ni2 0.367 0.867 0.000
Ni3 0.633 0.133 0.000
Ni4 0.867 0.633 0.000
Hg1 0.159 0.659 0.500
Hg2 0.341 0.159 0.500
Hg3 0.659 0.841 0.500
Hg4 0.841 0.341 0.500


Run Q
The following is a GGA-PBE calculation of a relaxed structure of TlNi2Hg2, from Alexandria via LeMat-Bulk.

abc: 6.502 6.502 6.502
angles: 142.68 142.68 53.81
Fractional coordinates of all 5 atoms:
Tl1 0.000 0.000 0.000
Ni1 0.401 0.401 0.000
Ni2 0.599 0.599 0.000
Hg1 0.250 0.750 0.500
Hg2 0.750 0.250 0.500


Most stable = run P


Run P
The following is a GGA-PBE calculation of a relaxed structure of TlNi2Hg2, from Alexandria via LeMat-Bulk.

abc: 9.359 9.359 9.359
angles: 159.05 159.05 29.80
Fractional coordinates of all 5 atoms:
Tl1 0.000 0.000 0.000
Ni1 0.250 0.750 0.500
Ni2 0.750 0.250 0.500
Hg1 0.367 0.367 0.000
Hg2 0.633 0.633 0.000


Run Q
The following is a GGA-PBE calculation of a relaxed structure of TlNi2Hg2, from Alexandria via LeMat-Bulk.

abc: 7.954 7.954 2.972
angles: 90.00 90.00 90.00
Fractional coordinates of all 10 atoms:
Tl1 0.000 0.000 0.000
Tl2 0.500 0.500 0.000
Ni1 0.143 0.357 0.500
Ni2 0.357 0.857 0.500
Ni3 0.643 0.143 0.500
Ni4 0.857 0.643 0.500
Hg1 0.149 0.649 0.000
Hg2 0.351 0.149 0.000
Hg3 0.649 0.851 0.000
Hg4 0.851 0.351 0.000


Most stable = run P


Run P
The following is a GGA-PBE calculation of a relaxed structure of Tl3NiHg, from Alexandria via LeMat-Bulk.

abc: 5.708 5.708 5.708
angles: 90.00 90.00 90.00
Fractional coordinates of all 5 atoms:
Tl1 0.000 0.000 0.500
Tl2 0.000 0.500 0.000
Tl3 0.500 0.000 0.000
Ni1 0.500 0.500 0.500
Hg1 0.000 0.000 0.000


Run Q
The following is a GGA-PBE calculation of a relaxed structure of Tl3NiHg, from Alexandria via LeMat-Bulk.

abc: 5.163 5.163 5.163
angles: 90.00 90.00 90.00
Fractional coordinates of all 5 atoms:
Tl1 0.000 0.000 0.500
Tl2 0.000 0.500 0.000
Tl3 0.500 0.000 0.000
Ni1 0.000 0.000 0.000
Hg1 0.500 0.500 0.500


Most stable = run Q


Run P
The following is a GGA-PBE calculation of a relaxed structure of Tm5NiHg2, from Alexandria via LeMat-Bulk.

abc: 6.697 6.697 12.319
angles: 90.00 90.00 130.72
Fractional coordinates of all 16 atoms:
Tm1 0.072 0.928 0.607
Tm2 0.072 0.928 0.893
Tm3 0.377 0.623 0.566
Tm4 0.377 0.623 0.934
Tm5 0.394 0.606 0.250
Tm6 0.606 0.394 0.750
Tm7 0.623 0.377 0.066
Tm8 0.623 0.377 0.434
Tm9 0.928 0.072 0.107
Tm10 0.928 0.072 0.393
Ni1 0.236 0.764 0.750
Ni2 0.764 0.236 0.250
Hg1 0.182 0.818 0.126
Hg2 0.182 0.818 0.374
Hg3 0.818 0.182 0.626
Hg4 0.818 0.182 0.874


Run Q
The following is a GGA-PBE calculation of a relaxed structure of Tm5NiHg2, from Alexandria via LeMat-Bulk.

abc: 6.930 11.895 4.832
angles: 90.00 90.00 90.00
Fractional coordinates of all 16 atoms:
Tm1 0.000 0.000 0.000
Tm2 0.134 0.293 0.000
Tm3 0.174 0.587 0.500
Tm4 0.326 0.087 0.500
Tm5 0.366 0.793 0.000
Tm6 0.500 0.500 0.000
Tm7 0.634 0.207 0.000
Tm8 0.674 0.913 0.500
Tm9 0.826 0.413 0.500
Tm10 0.866 0.707 0.000
Ni1 0.000 0.500 0.000
Ni2 0.500 0.000 0.000
Hg1 0.093 0.842 0.500
Hg2 0.407 0.342 0.500
Hg3 0.593 0.658 0.500
Hg4 0.907 0.158 0.500


Most stable = run Q


Run P
The following is a GGA-PBE calculation of a relaxed structure of TmNi2Hg, from Alexandria via LeMat-Bulk.

abc: 4.346 4.346 3.561
angles: 90.00 90.00 90.00
Fractional coordinates of all 4 atoms:
Tm1 0.000 0.000 0.000
Ni1 0.000 0.500 0.500
Ni2 0.500 0.000 0.500
Hg1 0.500 0.500 0.000


Run Q
The following is a GGA-PBE calculation of a relaxed structure of TmNi2Hg, from Alexandria via LeMat-Bulk.

abc: 4.550 4.550 4.550
angles: 60.00 60.00 60.00
Fractional coordinates of all 4 atoms:
Tm1 0.000 0.000 0.000
Ni1 0.250 0.250 0.250
Ni2 0.750 0.750 0.750
Hg1 0.500 0.500 0.500


Most stable = run Q


Run P
The following is a GGA-PBE calculation of a relaxed structure of Tm4NiHg, from Alexandria via LeMat-Bulk.

abc: 9.384 9.384 9.384
angles: 60.00 60.00 60.00
Fractional coordinates of all 24 atoms:
Tm1 0.187 0.187 0.813
Tm2 0.187 0.813 0.187
Tm3 0.187 0.813 0.813
Tm4 0.400 0.400 0.400
Tm5 0.400 0.400 0.800
Tm6 0.400 0.800 0.400
Tm7 0.562 0.562 0.938
Tm8 0.562 0.938 0.562
Tm9 0.562 0.938 0.938
Tm10 0.800 0.400 0.400
Tm11 0.813 0.187 0.187
Tm12 0.813 0.187 0.813
Tm13 0.813 0.813 0.187
Tm14 0.938 0.562 0.562
Tm15 0.938 0.562 0.938
Tm16 0.938 0.938 0.562
Ni1 0.179 0.607 0.607
Ni2 0.607 0.179 0.607
Ni3 0.607 0.607 0.179
Ni4 0.607 0.607 0.607
Hg1 0.165 0.165 0.165
Hg2 0.165 0.165 0.506
Hg3 0.165 0.506 0.165
Hg4 0.506 0.165 0.165


Run Q
The following is a GGA-PBE calculation of a relaxed structure of Tm4NiHg, from Alexandria via LeMat-Bulk.

abc: 6.971 6.951 6.830
angles: 90.00 94.62 90.00
Fractional coordinates of all 12 atoms:
Tm1 0.142 0.164 0.185
Tm2 0.142 0.336 0.685
Tm3 0.320 0.646 0.116
Tm4 0.320 0.854 0.616
Tm5 0.680 0.146 0.384
Tm6 0.680 0.354 0.884
Tm7 0.858 0.664 0.315
Tm8 0.858 0.836 0.815
Ni1 0.000 0.000 0.500
Ni2 0.000 0.500 0.000
Hg1 0.500 0.000 0.000
Hg2 0.500 0.500 0.500


Most stable = run P